Compound: KMnGe2Pd
Source: Alexandria via LeMat-Bulk
Functional: PBE
Structure: optimized geometry

Values from the calculation:
theoretical density: 4.083 g/cm3
total energy: -12.57 eV/f.u.
DOS(E_F): 7.66 states/eV/cell

Structure (CIF):
```
data_KMnGe2Pd
_chemical_formula_sum 'K1 Mn1 Ge2 Pd1'
_cell_length_a 5.077
_cell_length_b 5.077
_cell_length_c 5.455
_cell_angle_alpha 90.00
_cell_angle_beta 90.00
_cell_angle_gamma 90.00
_space_group_name_H-M_alt 'P 4/m m m'
_space_group_IT_number 123
_space_group_name_Hall '-P 4 2'
loop_
_atom_site_label
_atom_site_fract_x
_atom_site_fract_y
_atom_site_fract_z
_atom_site_occupancy
K1 0.000 0.000 0.000 1
Mn1 0.000 0.000 0.500 1
Ge1 0.000 0.500 0.000 1
Pd1 0.500 0.500 0.500 1
```